No. 1
Entry from the Alexandria database: an optimized crystal structure of FeCo2Au (GGA-PBE).

POSCAR file:
```
FeCo2Au
1.0
2.706 0.000 0.000
0.000 2.706 0.000
0.000 0.000 7.182
Fe Co Au
1 2 1
Direct
0.000 0.000 0.000
0.000 0.000 0.567
0.500 0.500 0.772
0.500 0.500 0.284
```

Summary:
calculated formation energy: 0.13 eV/atom
size of the total moment: 1.61 μB/atom
DOS at the Fermi energy: 4.21 states/eV per cell
raw total energy: -25.4 eV/cell

---

No. 2
Entry from the Alexandria database: an optimized crystal structure of Fe3CoAu (GGA-PBE).

POSCAR file:
```
Fe3CoAu
1.0
4.167 0.000 0.000
0.000 4.167 0.000
0.000 0.000 4.167
Fe Co Au
3 1 1
Direct
0.000 0.000 0.500
0.000 0.500 0.000
0.500 0.000 0.000
0.000 0.000 0.000
0.500 0.500 0.500
```

Summary:
calculated formation energy: 1.38 eV/atom
size of the total moment: 0.05 μB/atom
DOS at the Fermi energy: 13.85 states/eV per cell
raw total energy: -28.9 eV/cell

---

No. 3
Entry from the Alexandria database: an optimized crystal structure of FeCoAu2 (GGA-PBE).

POSCAR file:
```
FeCoAu2
1.0
1.401 0.809 8.887
-1.401 0.809 8.887
0.000 -1.618 8.887
Fe Co Au
1 1 2
Direct
0.000 0.000 0.000
0.500 0.500 0.500
0.249 0.249 0.249
0.751 0.751 0.751
```

Summary:
calculated formation energy: 0.32 eV/atom
size of the total moment: 1.11 μB/atom
DOS at the Fermi energy: 5.80 states/eV per cell
raw total energy: -20.9 eV/cell

---

No. 4
Entry from the Alexandria database: an optimized crystal structure of FeCo2Au (GGA-PBE).

POSCAR file:
```
FeCo2Au
1.0
1.350 0.779 8.400
-1.350 0.779 8.400
0.000 -1.558 8.400
Fe Co Au
1 2 1
Direct
0.000 0.000 0.000
0.259 0.259 0.259
0.741 0.741 0.741
0.500 0.500 0.500
```

Summary:
calculated formation energy: 0.20 eV/atom
size of the total moment: 1.42 μB/atom
DOS at the Fermi energy: 2.72 states/eV per cell
raw total energy: -25.1 eV/cell

---

No. 5
Entry from the Alexandria database: an optimized crystal structure of FeCoAu2 (GGA-PBE).

POSCAR file:
```
FeCoAu2
1.0
4.699 -1.458 0.000
4.699 1.458 0.000
-1.488 0.000 4.375
Fe Co Au
1 1 2
Direct
0.000 0.000 0.000
0.698 0.698 0.244
0.238 0.238 0.775
0.457 0.457 0.464
```

Summary:
calculated formation energy: 0.15 eV/atom
size of the total moment: 1.17 μB/atom
DOS at the Fermi energy: 2.44 states/eV per cell
raw total energy: -21.5 eV/cell

---

No. 6
Entry from the Alexandria database: an optimized crystal structure of FeCoAu2 (GGA-PBE).

POSCAR file:
```
FeCoAu2
1.0
-1.955 1.955 3.922
1.955 -1.955 3.922
1.955 1.955 -3.922
Fe Co Au
1 1 2
Direct
0.000 0.000 0.000
0.500 0.500 0.000
0.250 0.750 0.500
0.750 0.250 0.500
```

Summary:
calculated formation energy: 0.21 eV/atom
size of the total moment: 1.21 μB/atom
DOS at the Fermi energy: 4.13 states/eV per cell
raw total energy: -21.3 eV/cell